# PBE-GGA Sm4Y2HoTm2, relaxed
data_Sm4Y2HoTm2
_chemical_formula_sum 'Sm4 Y2 Ho1 Tm2'
_cell_length_a 5.048
_cell_length_b 7.995
_cell_length_c 7.993
_cell_angle_alpha 107.44
_cell_angle_beta 90.00
_cell_angle_gamma 108.40
_space_group_name_H-M_alt 'P 1'
_space_group_IT_number 1
_space_group_name_Hall 'P 1'
loop_
_atom_site_label
_atom_site_type_symbol
_atom_site_fract_x
_atom_site_fract_y
_atom_site_fract_z
Ho1 Ho 0.000 0.000 0.000
Y1 Y 0.888 0.777 0.331
Y2 Y 0.112 0.223 0.669
Sm1 Sm 0.222 0.444 0.331
Sm2 Sm 0.778 0.556 0.669
Sm3 Sm 0.445 0.890 0.670
Sm4 Sm 0.555 0.110 0.330
Tm1 Tm 0.333 0.666 0.000
Tm2 Tm 0.667 0.334 0.000
# DFT formation energy: 0.022 eV/atom
# uncorrected energy: -45.13 eV/cell
# calculated density: 7.3 Mg/m³